VASP calculation (PBE) on crystalline IrI3F at its relaxed geometry.

Output
Energy above the most stable polymorph in this dataset (meV/atom): 892.4
Formation energy from raw total energies (eV/atom): 1.199
Electronic total energy (eV/atom): -1.878
DOS at the Fermi energy (states/eV/f.u.): 7.213

Lattice parameters (Å, degrees): 5.171 5.171 5.171 90.00 90.00 90.00
Space group Pm-3m (No. 221)
Unique sites:
Ir: 0.000 0.000 0.000 [1 per cell]
I: 0.000 0.500 0.500 [3 per cell]
F: 0.500 0.500 0.500 [1 per cell]

---

VASP calculation (PBE) on crystalline Ac3SnPd9Pb2 at its relaxed geometry.

Output
Electronic total energy (eV/atom): -5.113
Energy of formation (eV/atom): -0.41
DOS at the Fermi energy (states/eV/f.u.): 6.623

Lattice parameters (Å, degrees): 7.0129 7.0129 9.4245 90.00 90.00 120.00
Space group P-3m1 (No. 164)
Unique sites:
Ac: 0.0000 0.0000 0.0000 [1 per cell]
Ac: 0.3333 0.6667 0.7412 [2 per cell]
Sn: 0.0000 0.0000 0.5000 [1 per cell]
Pd: 0.0000 0.5000 0.0000 [3 per cell]
Pd: 0.1299 0.2599 0.2766 [6 per cell]
Pb: 0.3333 0.6667 0.1978 [2 per cell]

---

VASP calculation (PBE) on crystalline ScMn2InPt at its relaxed geometry.

Output
Energy above the most stable polymorph in this dataset (meV/atom): 666.5
Electronic total energy (eV/atom): -5.611
Energy of formation (eV/atom): 1.08
DOS at the Fermi energy (states/eV/f.u.): 4.800

Lattice parameters (Å, degrees): 4.879 4.879 5.291 90.00 90.00 90.00
Space group P4/mmm (No. 123)
Unique sites:
Sc: 0.000 0.000 0.000 [1 per cell]
Mn: 0.000 0.500 0.500 [2 per cell]
In: 0.000 0.000 0.500 [1 per cell]
Pt: 0.500 0.500 0.000 [1 per cell]

---

VASP calculation (PBE) on crystalline Tl5SeBr4 at its relaxed geometry.

Output
Formation energy from raw total energies (eV/atom): -0.679
Electronic total energy (eV/atom): -2.880
DOS at the Fermi energy (states/eV/f.u.): 7.025

Lattice parameters (Å, degrees): 10.569 10.569 6.468 90.00 90.00 90.00
Space group I4/m (No. 87)
Unique sites:
Tl: 0.000 0.000 0.000 [2 per cell]
Tl: 0.093 0.717 0.500 [8 per cell]
Se: 0.000 0.000 0.500 [2 per cell]
Br: 0.099 0.701 0.000 [8 per cell]